1.
Compound: Dy2As2O5
Source: OQMD
Functional: PBE
Structure: relaxed

abc: 3.711 3.711 9.307
angles: 90.00 90.00 90.00
Space group P4/mmm (No. 123)
Symmetry-distinct sites (fractional):
Dy1 0.000 0.000 0.245
As1 0.500 0.500 0.000
As2 0.500 0.500 0.500
O1 0.000 0.000 0.000
O2 0.000 0.500 0.366

Summary:
Magnetization in Bohr magnetons per cell: 0.00
Calculated total energy in eV for the cell shown: -59.483

=====

2.
Compound: NbZn16
Source: OQMD
Functional: PBE
Structure: relaxed

abc: 7.670 11.407 11.631
angles: 90.00 90.00 90.00
Space group Cmcm (No. 63)
Symmetry-distinct sites (fractional):
Nb1 0.000 0.048 0.250
Zn1 0.000 0.000 0.000
Zn2 0.000 0.176 0.640
Zn3 0.000 0.291 0.250
Zn4 0.000 0.380 0.532
Zn5 0.163 0.356 0.750
Zn6 0.168 0.187 0.069
Zn7 0.203 0.447 0.134

Summary:
Magnetization in Bohr magnetons per cell: 0.14
Formation energy in meV per atom: -38

=====

3.
Compound: CsYHgSe3
Source: OQMD
Functional: PBE
Structure: relaxed

abc: 4.261 16.409 11.092
angles: 90.00 90.00 90.00
Space group Cmcm (No. 63)
Symmetry-distinct sites (fractional):
Cs1 0.000 0.246 0.250
Y1 0.000 0.500 0.000
Hg1 0.000 0.045 0.750
Se1 0.000 0.119 0.540
Se2 0.000 0.438 0.750

Summary:
Magnetization in Bohr magnetons per cell: 0.02
Calculated total energy in eV for the cell shown: -102.096

=====

4.
Compound: LiYSiPd
Source: OQMD
Functional: PBE
Structure: relaxed

abc: 6.651 6.651 6.651
angles: 90.00 90.00 90.00
Space group F-43m (No. 216)
Symmetry-distinct sites (fractional):
Li1 0.000 0.000 0.000
Y1 0.000 0.000 0.500
Si1 0.250 0.250 0.250
Pd1 0.250 0.250 0.750

Summary:
Magnetization in Bohr magnetons per cell: 0.00
Calculated total energy in eV for the cell shown: -84.166

=====

5.
Compound: GdSn
Source: OQMD
Functional: PBE
Structure: relaxed

abc: 6.995 6.995 6.995
angles: 90.00 90.00 90.00
Space group F-43m (No. 216)
Symmetry-distinct sites (fractional):
Gd1 0.000 0.000 0.000
Sn1 0.250 0.250 0.750

Summary:
Magnetization in Bohr magnetons per cell: 0.17
Calculated total energy in eV for the cell shown: -32.548

=====

6.
Compound: Mg2Zn
Source: OQMD
Functional: PBE
Structure: relaxed

abc: 3.152 15.137 4.850
angles: 90.00 90.00 90.00
Space group Cmcm (No. 63)
Symmetry-distinct sites (fractional):
Mg1 0.000 0.057 0.250
Mg2 0.000 0.271 0.750
Zn1 0.000 0.389 0.250

Summary:
Calculated total energy in eV for the cell shown: -17.846

=====

7.
Compound: DyYNi4Sn2
Source: OQMD
Functional: PBE
Structure: relaxed

abc: 4.3585 4.3585 8.6445
angles: 90.00 90.00 120.00
Space group P-6m2 (No. 187)
Symmetry-distinct sites (fractional):
Dy1 0.0000 0.0000 0.0000
Y1 0.6667 0.3333 0.5000
Ni1 0.0000 0.0000 0.3308
Ni2 0.6667 0.3333 0.1662
Sn1 0.3333 0.6667 0.2499

Summary:
Magnetization in Bohr magnetons per cell: 0.00
Calculated total energy in eV for the cell shown: -45.644

=====

8.
Compound: YCoAsPt
Source: OQMD
Functional: PBE
Structure: relaxed

abc: 6.556 6.556 6.556
angles: 90.00 90.00 90.00
Space group F-43m (No. 216)
Symmetry-distinct sites (fractional):
Y1 0.000 0.000 0.000
Co1 0.250 0.250 0.750
As1 0.000 0.000 0.500
Pt1 0.250 0.250 0.250

Summary:
Magnetization in Bohr magnetons per cell: 5.17
Calculated total energy in eV for the cell shown: -102.692

=====

9.
Compound: LiZr2Ga2FeIr2
Source: OQMD
Functional: PBE
Structure: relaxed

abc: 4.419 4.419 6.312
angles: 90.00 90.00 90.00
Space group P-4m2 (No. 115)
Symmetry-distinct sites (fractional):
Li1 0.000 0.000 0.000
Zr1 0.000 0.500 0.747
Ga1 0.000 0.500 0.249
Fe1 0.500 0.500 0.500
Ir1 0.000 0.000 0.500
Ir2 0.500 0.500 0.000

Summary:
Magnetization in Bohr magnetons per cell: 0.01
Calculated total energy in eV for the cell shown: -55.744

=====

10.
Compound: TaW
Source: OQMD
Functional: PBE
Structure: relaxed

abc: 5.369 9.127 8.720
angles: 90.00 90.00 90.00
Space group Cmcm (No. 63)
Symmetry-distinct sites (fractional):
Ta1 0.000 0.000 0.000
Ta2 0.243 0.414 0.250
W1 0.000 0.169 0.250
W2 0.000 0.331 0.555

Summary:
Magnetization in Bohr magnetons per cell: 0.02
Formation energy in meV per atom: 436

=====

11.
Compound: Rb2CoNiCl6
Source: OQMD
Functional: PBE
Structure: relaxed

abc: 9.669 9.669 9.669
angles: 90.00 90.00 90.00
Space group Fm-3m (No. 225)
Symmetry-distinct sites (fractional):
Rb1 0.250 0.250 0.250
Co1 0.000 0.000 0.000
Ni1 0.000 0.000 0.500
Cl1 0.000 0.000 0.250

Summary:
Magnetization in Bohr magnetons per cell: 6.25
Calculated total energy in eV for the cell shown: -143.643

=====

12.
Compound: BaDy2Hf
Source: OQMD
Functional: PBE
Structure: relaxed

abc: 3.474 3.474 10.468
angles: 90.00 90.00 90.00
Space group P4/mmm (No. 123)
Symmetry-distinct sites (fractional):
Ba1 0.000 0.000 0.000
Dy1 0.000 0.000 0.309
Hf1 0.500 0.500 0.500

Summary:
Magnetization in Bohr magnetons per cell: 0.10
Calculated total energy in eV for the cell shown: -19.292

=====

13.
Compound: SrAl2Au3
Source: OQMD
Functional: PBE
Structure: relaxed

abc: 13.275 5.551 6.936
angles: 90.00 90.00 90.00
Space group Pnma (No. 62)
Symmetry-distinct sites (fractional):
Sr1 0.089 0.250 0.156
Al1 0.151 0.000 0.641
Au1 0.008 0.750 0.403
Au2 0.190 0.750 0.943
Au3 0.218 0.750 0.348

Summary:
Calculated total energy in eV for the cell shown: -91.502

=====

14.
Compound: Pr2Al3Ga3
Source: OQMD
Functional: PBE
Structure: relaxed

abc: 4.574 6.552 11.349
angles: 90.00 90.00 90.00
Space group Amm2 (No. 38)
Symmetry-distinct sites (fractional):
Pr1 0.000 0.000 0.000
Pr2 0.500 0.000 0.334
Al1 0.000 0.000 0.529
Al2 0.500 0.209 0.598
Ga1 0.000 0.215 0.738
Ga2 0.500 0.000 0.810

Summary:
Magnetization in Bohr magnetons per cell: 0.01
Calculated total energy in eV for the cell shown: -67.966

=====

15.
Compound: ThMg2
Source: OQMD
Functional: PBE
Structure: relaxed

abc: 3.331 17.611 5.476
angles: 90.00 90.00 90.00
Space group Cmcm (No. 63)
Symmetry-distinct sites (fractional):
Th1 0.000 0.049 0.250
Mg1 0.000 0.277 0.750
Mg2 0.000 0.377 0.250

Summary:
Magnetization in Bohr magnetons per cell: 0.00
Calculated total energy in eV for the cell shown: -41.028

=====

16.
Compound: Co5As2
Source: OQMD
Functional: PBE
Structure: relaxed

abc: 6.7684 6.7684 12.3297
angles: 90.00 90.00 120.00
Space group P6_3cm (No. 185)
Symmetry-distinct sites (fractional):
Co1 0.0000 0.0000 0.0238
Co2 0.0000 0.2700 0.6941
Co3 0.0000 0.3077 0.8990
Co4 0.0000 0.3692 0.5000
Co5 0.0000 0.3732 0.2888
Co6 0.3333 0.6667 0.1626
As1 0.0000 0.0000 0.3224
As2 0.0000 0.3296 0.0927
As3 0.3333 0.6667 0.3662

Summary:
Magnetization in Bohr magnetons per cell: 25.61
Calculated total energy in eV for the cell shown: -273.084

=====

17.
Compound: DySiAg
Source: OQMD
Functional: PBE
Structure: relaxed

abc: 7.6219 7.6219 3.8388
angles: 90.00 90.00 120.00
Space group P-62m (No. 189)
Symmetry-distinct sites (fractional):
Dy1 0.0000 0.2751 0.0000
Si1 0.0000 0.0000 0.5000
Si2 0.3333 0.6667 0.0000
Ag1 0.0000 0.6164 0.5000

Summary:
Magnetization in Bohr magnetons per cell: 0.00
Calculated total energy in eV for the cell shown: -40.480

=====

18.
Compound: Sm3Bi7
Source: OQMD
Functional: PBE
Structure: relaxed

abc: 4.306 15.180 19.172
angles: 90.00 90.00 90.00
Space group Immm (No. 71)
Symmetry-distinct sites (fractional):
Sm1 0.000 0.000 0.173
Sm2 0.000 0.138 0.368
Bi1 0.000 0.000 0.000
Bi2 0.000 0.000 0.500
Bi3 0.000 0.212 0.197
Bi4 0.000 0.336 0.000
Bi5 0.000 0.360 0.414
Bi6 0.000 0.500 0.200

Summary:
Magnetization in Bohr magnetons per cell: 0.05
Calculated total energy in eV for the cell shown: -192.179

=====

19.
Compound: Pt2C
Source: OQMD
Functional: PBE
Structure: relaxed

abc: 8.899 8.899 8.899
angles: 90.00 90.00 90.00
Space group Fd-3m (No. 227, origin choice 2)
Symmetry-distinct sites (fractional):
Pt1 0.000 0.000 0.000
C1 0.125 0.125 0.125

Summary:
Magnetization in Bohr magnetons per cell: 0.00
Calculated total energy in eV for the cell shown: -139.955

=====

20.
Compound: HoZnSn
Source: OQMD
Functional: PBE
Structure: relaxed

abc: 6.601 6.601 6.601
angles: 90.00 90.00 90.00
Space group F-43m (No. 216)
Symmetry-distinct sites (fractional):
Ho1 0.000 0.000 0.000
Zn1 0.250 0.250 0.250
Sn1 0.000 0.000 0.500

Summary:
Magnetization in Bohr magnetons per cell: 0.00
Calculated total energy in eV for the cell shown: -44.054

=====

no.,calculated volume (Å³ per cell)
1,128.2
2,1017.6
3,775.6
4,294.2
5,342.3
6,231.4
7,142.2
8,281.8
9,123.3
10,427.3
11,903.9
12,126.3
13,511.1
14,340.1
15,321.3
16,489.2
17,193.1
18,1253.1
19,704.7
20,287.6